A relaxed DyEr4Mg crystal. Source: the Alexandria database, functional PBE.

Values from the calculation:
The excess energy over the best structure of this formula in the dataset comes out at 0.0 meV per atom. The formation energy comes out at -0.01 eV/atom. The total energy comes out at -4.0834 eV/atom. The density is 8.01 Mg/m³. For the density of states at the Fermi level, the calculation gives 1.45 states/eV/atom.

Cell and atoms, written as POSCAR:
```
DyEr4Mg
1.0
3.522 0.000 0.000
0.000 3.522 0.000
0.000 0.000 14.307
Mg Er Dy
1 4 1
Direct
0.500 0.500 0.500
0.000 0.000 0.655
0.500 0.500 0.175
0.000 0.000 0.345
0.500 0.500 0.825
0.000 0.000 0.000
```